CeDy3H8 | Alexandria via LeMat-Bulk | PBE-GGA | optimized geometry; D(E_F) = 8.26 states/eV per cell; uncorrected energy = -54.6 eV/f.u.
1.0
5.257 0.000 0.000
0.000 5.257 0.000
0.000 0.000 5.257
H Dy Ce
8 3 1
Direct
0.743 0.743 0.743
0.257 0.743 0.257
0.257 0.257 0.257
0.257 0.743 0.743
0.257 0.257 0.743
0.743 0.257 0.257
0.743 0.743 0.257
0.743 0.257 0.743
0.000 0.500 0.500
0.500 0.000 0.500
0.500 0.500 0.000
0.000 0.000 0.000

=====

HfNb3H | Alexandria via LeMat-Bulk | PBE-GGA | optimized geometry; D(E_F) = 8.27 states/eV per cell; offset from the most stable computed form = 2273 meV per atom; uncorrected energy = -31.7 eV/f.u.
1.0
-0.690 -1.522 4.677
-4.538 -1.624 -1.198
1.897 -4.439 -1.165
Nb Hf H
3 1 1
Direct
0.500 0.000 0.000
0.000 0.000 0.500
0.000 0.500 0.000
0.000 0.000 0.000
0.500 0.500 0.500

=====

MnIrRhS | Alexandria via LeMat-Bulk | PBE-GGA | optimized geometry; E_form (uncorrected) = -0.024 eV/atom; D(E_F) = 6.36 states/eV per cell; offset from the most stable computed form = 61 meV per atom; uncorrected energy = -29.6 eV/f.u.
1.0
2.851 0.000 0.110
0.000 4.398 0.000
-0.348 0.000 9.083
S Mn Rh Ir
2 2 2 2
Direct
0.291 0.500 0.309
0.291 0.000 0.809
0.791 0.000 0.995
0.791 0.500 0.495
0.290 0.000 0.246
0.290 0.500 0.746
0.291 0.500 0.052
0.291 0.000 0.552

=====

Nd5Te2Ru2 | Alexandria via LeMat-Bulk | PBE-GGA | optimized geometry; E_form (uncorrected) = -0.724 eV/atom; D(E_F) = 12.65 states/eV per cell; uncorrected energy = -55.2 eV/f.u.
1.0
-1.567 -7.745 1.398
5.132 -2.065 -5.688
5.169 -4.093 6.149
Te Nd Ru
4 10 4
Direct
0.792 0.000 0.416
0.208 0.000 0.584
0.708 0.500 0.584
0.292 0.500 0.416
0.720 0.341 0.235
0.956 0.341 0.765
0.780 0.841 0.765
0.500 0.500 0.000
0.280 0.659 0.765
0.456 0.159 0.765
0.000 0.000 0.000
0.220 0.159 0.235
0.544 0.841 0.235
0.044 0.659 0.235
0.141 0.361 0.000
0.359 0.861 0.000
0.859 0.639 0.000
0.641 0.139 0.000

=====

Mg2CrRe | Alexandria via LeMat-Bulk | PBE-GGA | optimized geometry; E_form = 95.83 kJ/mol of atoms; D(E_F) = 3.63 states/eV per cell; offset from the most stable computed form = 836 meV per atom; uncorrected energy = -21.3 eV/f.u.
1.0
-4.725 5.516 0.849
-4.658 -3.285 -4.581
-5.803 -0.150 0.172
Re Mg Cr
2 4 2
Direct
0.000 0.000 0.000
0.750 0.250 0.500
0.875 0.871 0.750
0.621 0.125 0.250
0.375 0.379 0.750
0.129 0.625 0.250
0.500 0.500 0.000
0.250 0.750 0.500

=====

Ce4IrSe3 | Alexandria via LeMat-Bulk | PBE-GGA | optimized geometry; E_form (uncorrected) = -1.514 eV/atom; D(E_F) = 23.27 states/eV per cell; uncorrected energy = -55.2 eV/f.u.
1.0
4.109 0.000 0.000
0.000 6.935 -2.332
0.000 -0.027 7.317
Ce Ir Se
4 1 3
Direct
0.500 0.243 0.757
0.500 0.757 0.243
0.000 0.232 0.232
0.000 0.768 0.768
0.500 0.000 0.000
0.000 0.500 0.000
0.500 0.500 0.500
0.000 0.000 0.500

=====

NaAl2GeO6 | Alexandria via LeMat-Bulk | PBE-GGA | optimized geometry; E_form (uncorrected) = -2.202 eV/atom; uncorrected energy = -65.2 eV/f.u.
1.0
5.842 -0.012 -0.012
1.880 6.796 -0.800
1.880 -1.051 6.762
Al O Ge Na
4 12 2 2
Direct
0.348 0.729 0.559
0.848 0.559 0.729
0.152 0.441 0.271
0.652 0.271 0.441
0.076 0.648 0.575
0.208 0.946 0.774
0.536 0.182 0.650
0.424 0.425 0.352
0.708 0.774 0.946
0.292 0.226 0.054
0.924 0.352 0.425
0.964 0.350 0.818
0.792 0.054 0.226
0.036 0.650 0.182
0.576 0.575 0.648
0.464 0.818 0.350
0.250 0.187 0.813
0.750 0.813 0.187
0.250 0.896 0.104
0.750 0.104 0.896

=====

DyHoMnNi | Alexandria via LeMat-Bulk | PBE-GGA | optimized geometry; E_form = -2.41 kJ/mol of atoms; D(E_F) = 4.99 states/eV per cell; uncorrected energy = -24.2 eV/f.u.
1.0
-1.535 -2.040 -4.150
-2.126 -4.383 0.081
-4.772 -0.409 -0.894
Ni Mn Dy Ho
1 1 1 1
Direct
0.000 0.000 0.000
0.500 0.500 0.500
0.750 0.750 0.750
0.250 0.250 0.250

=====

NiSb2P | Alexandria via LeMat-Bulk | PBE-GGA | optimized geometry; E_form (uncorrected) = 0.092 eV/atom; D(E_F) = 5.49 states/eV per cell; uncorrected energy = -19.1 eV/f.u.
1.0
-1.926 -5.054 -2.310
5.540 -1.558 -1.210
2.231 -5.852 3.457
Sb P Ni
4 2 2
Direct
0.096 0.625 0.250
0.875 0.904 0.750
0.375 0.346 0.750
0.654 0.125 0.250
0.500 0.500 0.000
0.250 0.750 0.500
0.750 0.250 0.500
0.000 0.000 0.000

=====

ReBi2I | Alexandria via LeMat-Bulk | PBE-GGA | optimized geometry; E_form (uncorrected) = 1.190 eV/atom; D(E_F) = 3.48 states/eV per cell; offset from the most stable computed form = 345 meV per atom; uncorrected energy = -17.0 eV/f.u.
1.0
0.000 3.756 3.756
3.756 0.000 3.756
3.756 3.756 0.000
Bi I Re
2 1 1
Direct
0.250 0.250 0.250
0.750 0.750 0.750
0.000 0.000 0.000
0.500 0.500 0.500

=====

Al2NiSe | Alexandria via LeMat-Bulk | PBE-GGA | optimized geometry; E_form (uncorrected) = -0.038 eV/atom; D(E_F) = 1.82 states/eV per cell; uncorrected energy = -16.9 eV/f.u.
1.0
2.915 0.000 0.000
-0.001 2.915 0.000
0.000 0.000 7.486
Al Ni Se
2 1 1
Direct
0.000 0.000 0.025
0.500 0.500 0.290
0.000 0.000 0.485
0.500 0.500 0.700

=====

CaPtC3 | Alexandria via LeMat-Bulk | PBE-GGA | optimized geometry; E_form = 341.86 kJ/mol of atoms; D(E_F) = 3.68 states/eV per cell; offset from the most stable computed form = 1738 meV per atom; uncorrected energy = -18.0 eV/f.u.
1.0
-1.712 3.890 -0.061
-2.326 -0.969 3.423
3.119 1.412 2.519
C Ca Pt
3 1 1
Direct
0.500 0.000 0.000
0.000 0.500 0.000
0.000 0.000 0.500
0.000 0.000 0.000
0.500 0.500 0.500

=====

Among the records above, which one has the highest uncorrected energy?
Al2NiSe

=====

What is the formula in the eighth record?
DyHoMnNi

=====

The highest uncorrected energy belongs to which entry?
Al2NiSe